Record 1
Crystalline Rb2ThI2Cl4 at its relaxed geometry. Source: Alexandria via LeMat-Bulk, functional PBE-GGA.

Geometry as CIF:
```
data_Rb2ThI2Cl4
_symmetry_space_group_name_H-M 'P 1'
_symmetry_Int_Tables_number 1
_cell_length_a 8.1336
_cell_length_b 8.1336
_cell_length_c 8.1336
_cell_angle_alpha 86.83
_cell_angle_beta 121.85
_cell_angle_gamma 121.85
loop_
_symmetry_equiv_pos_as_xyz
'x,y,z'
loop_
_atom_site_label
_atom_site_type_symbol
_atom_site_fract_x
_atom_site_fract_y
_atom_site_fract_z
Cl1 Cl 0.5231 0.7616 0.7616
Cl2 Cl 0.4769 0.2384 0.2384
Cl3 Cl 0.0000 0.7616 0.2384
I1 I 0.0000 0.2639 0.2639
Rb1 Rb 0.5000 0.2500 0.7500
Cl4 Cl 0.0000 0.2384 0.7616
I2 I 0.0000 0.7361 0.7361
Rb2 Rb 0.5000 0.7500 0.2500
Th1 Th 0.0000 0.0000 0.0000
```

Calculated values
As for the total energy: -4.07 eV/atom. As for the space group: No. 139. The spin magnetization is 0.00 μB/f.u.

Record 2
Crystalline NdB2Pt8 at its relaxed geometry. Source: Alexandria via LeMat-Bulk, functional PBE-GGA.

Geometry as CIF:
```
data_NdB2Pt8
_symmetry_space_group_name_H-M 'P 1'
_symmetry_Int_Tables_number 1
_cell_length_a 5.3088
_cell_length_b 5.3088
_cell_length_c 7.4915
_cell_angle_alpha 90.00
_cell_angle_beta 90.00
_cell_angle_gamma 90.00
loop_
_symmetry_equiv_pos_as_xyz
'x,y,z'
loop_
_atom_site_label
_atom_site_type_symbol
_atom_site_fract_x
_atom_site_fract_y
_atom_site_fract_z
Nd1 Nd 0.5000 0.5000 0.5000
Pt1 Pt 0.7523 0.7523 0.1855
Pt2 Pt 0.2477 0.2477 0.1855
Pt3 Pt 0.2477 0.7523 0.8145
B1 B 0.5000 0.0000 0.0000
Pt4 Pt 0.7523 0.2477 0.8145
B2 B 0.0000 0.5000 0.0000
Pt5 Pt 0.2477 0.2477 0.8145
Pt6 Pt 0.2477 0.7523 0.1855
Pt7 Pt 0.7523 0.2477 0.1855
Pt8 Pt 0.7523 0.7523 0.8145
```

Calculated values
As for the total energy: -6.08 eV/atom. As for the space group: No. 123. The spin magnetization is 0.00 μB/f.u.

> Look up the spin magnetization of the second one.

0.00 μB/f.u.

> What is the spin magnetization in the first record?

0.00 μB/f.u.